First-principles (meta-GGA SCAN) data for a PBEsol-optimized structure of SiMo2, as listed in the Alexandria database.

Summary:
calculated total energy: -0.97857 Ha/atom
volume: 14.37 Å³ per atom
raw formation energy: -0.03 eV/atom
excess energy over the best structure of this formula in the dataset: 0.244 eV/atom
SG: P-3m1

POSCAR file:
```
SiMo2
1.0
-2.567 0.603 -0.578
-0.235 -3.448 -2.549
-1.015 -0.331 4.159
Si Mo
1 2
Cartesian
0.000 0.000 0.000
-1.379 -2.202 -0.512
-2.438 -0.975 1.544
```